## a
CePmHgIr (GGA-PBE, optimized geometry); total magnetization = 0.80 μB/f.u.; V = 24.4 Å³ per atom
1.0
5.167 0.000 0.000
2.584 4.475 0.000
2.584 1.492 4.219
Ir Hg Ce Pm
1 1 1 1
Direct
0.000 0.000 0.000
0.500 0.500 0.500
0.250 0.250 0.250
0.750 0.750 0.750

---

## b
CePmHgIr (GGA-PBE, optimized geometry); total magnetization = 0.37 μB/f.u.; V = 28.1 Å³ per atom
1.0
4.113 0.000 0.000
-2.056 3.562 0.000
-2.056 -1.187 7.670
Hg Ir Pm Ce
1 1 1 1
Direct
0.967 0.381 0.363
0.309 0.552 0.877
0.501 0.148 0.665
0.101 0.948 0.065

---

Relative energies in meV/atom: a 111; b 0

---

## a
CePrHgIr (GGA-PBE, optimized geometry); total magnetization = 0.36 μB/f.u.; V = 28.7 Å³ per atom
1.0
4.135 0.000 0.000
-2.067 3.582 0.000
-2.067 -1.193 7.746
Ir Ce Hg Pr
1 1 1 1
Direct
0.312 0.554 0.881
0.101 0.949 0.065
0.964 0.380 0.359
0.501 0.148 0.665

---

## b
CePrHgIr (GGA-PBE, optimized geometry); total magnetization = 0.81 μB/f.u.; V = 24.9 Å³ per atom
1.0
-3.553 -3.406 1.689
0.820 -2.646 4.406
-2.821 1.070 4.240
Pr Hg Ce Ir
1 1 1 1
Direct
0.250 0.250 0.250
0.000 0.000 0.000
0.750 0.750 0.750
0.500 0.500 0.500

---

Relative energies in meV/atom: a 0; b 125

---

## a
LaCe2Hg6 (GGA-PBE, optimized geometry); total magnetization = 3.06 μB/f.u.; V = 26.6 Å³ per atom
1.0
3.491 0.000 0.000
1.746 8.902 1.161
1.746 3.668 8.194
Ce Hg La
2 6 1
Direct
0.650 0.850 0.850
0.350 0.150 0.150
0.830 0.843 0.498
0.170 0.157 0.502
0.000 0.172 0.828
0.830 0.498 0.843
0.170 0.502 0.157
0.000 0.828 0.172
0.500 0.500 0.500

---

## b
LaCe2Hg6 (GGA-PBE, optimized geometry); total magnetization = 2.93 μB/f.u.; V = 25.8 Å³ per atom
1.0
-3.086 -1.341 0.706
-2.602 1.627 -8.287
3.811 -7.718 1.999
Hg Ce La
6 2 1
Direct
0.500 0.335 0.000
0.500 0.335 0.335
0.500 0.665 0.000
0.500 0.665 0.665
0.500 0.000 0.335
0.500 0.000 0.665
0.000 0.333 0.667
0.000 0.667 0.333
0.000 0.000 0.000

---

Relative energies in meV/atom: a 64; b 0

---

## a
LaCe2Hg (GGA-PBE, optimized geometry); total magnetization = 3.29 μB/f.u.; V = 28.0 Å³ per atom
1.0
5.412 0.000 0.000
2.706 4.687 0.000
2.706 1.562 4.419
Ce Hg La
2 1 1
Direct
0.750 0.750 0.750
0.250 0.250 0.250
0.000 0.000 0.000
0.500 0.500 0.500

---

## b
LaCe2Hg (GGA-PBE, optimized geometry); total magnetization = 1.41 μB/f.u.; V = 29.7 Å³ per atom
1.0
3.579 0.000 0.000
0.000 3.579 0.000
0.000 0.000 9.257
Ce Hg La
2 1 1
Direct
0.000 0.000 0.230
0.000 0.000 0.770
0.500 0.500 0.000
0.500 0.500 0.500

---

Relative energies in meV/atom: a 71; b 0

---

## a
LaCe2Hg (GGA-PBE, optimized geometry); total magnetization = 0.22 μB/f.u.; V = 30.4 Å³ per atom
1.0
3.543 0.000 0.000
1.772 3.069 0.000
1.772 1.023 11.172
Hg Ce La
1 2 1
Direct
0.666 0.666 0.001
0.077 0.077 0.769
0.256 0.256 0.231
0.500 0.500 0.499

---

## b
LaCe2Hg (GGA-PBE, optimized geometry); total magnetization = 2.10 μB/f.u.; V = 28.9 Å³ per atom
1.0
5.067 0.000 0.000
0.000 4.779 0.000
0.000 0.000 4.779
Hg Ce La
1 2 1
Direct
0.500 0.500 0.500
0.000 0.500 0.000
0.000 0.000 0.500
0.500 0.000 0.000

---

Relative energies in meV/atom: a 91; b 0

---

## a
Li2CeHg3 (GGA-PBE, optimized geometry); total magnetization = 1.38 μB/f.u.; V = 21.3 Å³ per atom
1.0
-0.728 3.316 0.506
-1.032 0.271 -3.262
-10.100 -2.671 2.974
Li Hg Ce
2 3 1
Direct
0.500 0.500 0.852
0.500 0.500 0.148
0.000 0.000 0.000
0.000 0.000 0.707
0.000 0.000 0.293
0.500 0.500 0.500

---

## b
Li2CeHg3 (GGA-PBE, optimized geometry); total magnetization = 0.94 μB/f.u.; V = 22.6 Å³ per atom
1.0
-2.594 -0.973 -3.840
1.213 -3.474 2.981
-11.655 2.206 7.313
Li Hg Ce
4 6 2
Direct
0.333 0.667 0.568
0.667 0.333 0.432
0.333 0.667 0.932
0.667 0.333 0.068
0.000 0.000 0.000
0.667 0.333 0.870
0.667 0.333 0.630
0.000 0.000 0.500
0.333 0.667 0.130
0.333 0.667 0.370
0.000 0.000 0.250
0.000 0.000 0.750

---

Relative energies in meV/atom: a 0; b 21

---

## a
LiCe2Hg4 (GGA-PBE, optimized geometry); total magnetization = 2.12 μB/f.u.; V = 27.4 Å³ per atom
1.0
1.263 -0.249 4.722
0.804 -4.351 2.092
9.614 -1.020 -0.089
Hg Ce Li
4 2 1
Direct
0.365 0.365 0.906
0.635 0.635 0.094
0.135 0.135 0.594
0.865 0.865 0.406
0.250 0.250 0.249
0.750 0.750 0.751
0.000 0.000 0.000

---

## b
LiCe2Hg4 (GGA-PBE, optimized geometry); total magnetization = 3.13 μB/f.u.; V = 27.1 Å³ per atom
1.0
-4.370 -1.702 -1.215
1.622 -0.984 -4.457
3.577 -6.053 5.271
Ce Hg Li
2 4 1
Direct
0.360 0.360 0.719
0.640 0.640 0.281
0.166 0.166 0.332
0.500 0.000 0.000
0.000 0.500 0.000
0.834 0.834 0.668
0.000 0.000 0.000

---

Relative energies in meV/atom: a 0; b 86

---

## a
LiCe2Hg2 (GGA-PBE, optimized geometry); total magnetization = 1.43 μB/f.u.; V = 24.4 Å³ per atom
1.0
-3.326 -2.803 -2.032
0.956 -1.182 5.737
-6.331 7.345 0.232
Ce Hg Li
4 4 2
Direct
0.820 0.641 0.951
0.039 0.078 0.375
0.180 0.359 0.049
0.961 0.922 0.625
0.655 0.310 0.598
0.508 0.016 0.851
0.345 0.690 0.402
0.492 0.984 0.149
0.733 0.466 0.312
0.267 0.534 0.688

---

## b
LiCe2Hg2 (GGA-PBE, optimized geometry); total magnetization = 2.34 μB/f.u.; V = 26.1 Å³ per atom
1.0
5.084 0.000 0.000
0.000 6.188 0.000
-2.542 0.000 8.286
Hg Ce Li
4 4 2
Direct
0.588 0.983 0.177
0.412 0.483 0.823
0.829 0.969 0.658
0.171 0.469 0.342
0.789 0.468 0.578
0.001 0.731 0.002
0.999 0.231 0.998
0.211 0.968 0.422
0.594 0.483 0.187
0.406 0.983 0.813

---

Relative energies in meV/atom: a 0; b 37

---

## a
CeMg4Hg2 (GGA-PBE, optimized geometry); total magnetization = 1.20 μB/f.u.; V = 23.6 Å³ per atom
1.0
-1.648 -0.877 2.849
-3.591 -2.173 -2.746
6.660 -7.260 1.617
Ce Hg Mg
1 2 4
Direct
0.000 0.000 0.000
0.500 0.422 0.843
0.500 0.578 0.157
0.500 0.160 0.320
0.000 0.702 0.404
0.500 0.840 0.680
0.000 0.298 0.596

---

## b
CeMg4Hg2 (GGA-PBE, optimized geometry); total magnetization = 1.19 μB/f.u.; V = 24.0 Å³ per atom
1.0
4.664 0.000 0.000
0.000 8.486 0.000
0.000 0.000 8.486
Hg Mg Ce
4 8 2
Direct
0.500 0.291 0.291
0.000 0.791 0.209
0.000 0.209 0.791
0.500 0.709 0.709
0.000 0.906 0.657
0.500 0.843 0.406
0.000 0.094 0.343
0.000 0.343 0.094
0.500 0.157 0.594
0.500 0.594 0.157
0.500 0.406 0.843
0.000 0.657 0.906
0.000 0.500 0.500
0.500 0.000 0.000

---

Relative energies in meV/atom: a 23; b 0

---

## a
Ce2MgHg3 (GGA-PBE, optimized geometry); total magnetization = 2.13 μB/f.u.; V = 26.7 Å³ per atom
1.0
-4.932 -0.599 -0.510
0.939 -4.115 -4.249
2.627 -7.390 7.737
Ce Hg Mg
4 6 2
Direct
0.019 0.250 0.037
0.839 0.250 0.677
0.981 0.750 0.963
0.161 0.750 0.323
0.427 0.485 0.854
0.427 0.015 0.854
0.573 0.515 0.146
0.242 0.250 0.485
0.573 0.985 0.146
0.758 0.750 0.515
0.680 0.250 0.359
0.320 0.750 0.641

---

## b
Ce2MgHg3 (GGA-PBE, optimized geometry); total magnetization = 1.25 μB/f.u.; V = 26.0 Å³ per atom
1.0
-1.401 -4.794 1.549
3.597 0.589 -3.749
9.479 0.178 9.123
Hg Mg Ce
6 2 4
Direct
0.667 0.333 0.581
0.333 0.667 0.419
0.333 0.667 0.910
0.667 0.333 0.090
0.000 0.000 0.256
0.000 0.000 0.744
0.667 0.333 0.339
0.333 0.667 0.661
0.000 0.000 0.000
0.333 0.667 0.179
0.667 0.333 0.821
0.000 0.000 0.500

---

Relative energies in meV/atom: a 114; b 0

---

## a
CeMg2Hg3 (GGA-PBE, optimized geometry); total magnetization = 0.85 μB/f.u.; V = 23.7 Å³ per atom
1.0
5.073 0.000 0.000
-2.537 4.394 0.000
0.000 0.000 12.782
Mg Ce Hg
4 2 6
Direct
0.667 0.333 0.839
0.333 0.667 0.161
0.000 0.000 0.000
0.000 0.000 0.500
0.667 0.333 0.334
0.333 0.667 0.666
0.667 0.333 0.581
0.000 0.000 0.767
0.333 0.667 0.920
0.000 0.000 0.233
0.667 0.333 0.080
0.333 0.667 0.419

---

## b
CeMg2Hg3 (GGA-PBE, optimized geometry); total magnetization = 0.89 μB/f.u.; V = 24.1 Å³ per atom
1.0
4.904 0.000 0.000
-2.452 4.247 0.000
0.000 0.000 13.910
Ce Hg Mg
2 6 4
Direct
0.000 0.000 0.750
0.000 0.000 0.250
0.667 0.333 0.863
0.000 0.000 0.500
0.667 0.333 0.637
0.333 0.667 0.363
0.000 0.000 0.000
0.333 0.667 0.137
0.667 0.333 0.083
0.333 0.667 0.917
0.333 0.667 0.583
0.667 0.333 0.417

---

Relative energies in meV/atom: a 0; b 35

---

## a
CeMgHg4 (GGA-PBE, optimized geometry); total magnetization = 1.02 μB/f.u.; V = 24.8 Å³ per atom
1.0
4.083 0.000 1.181
2.247 4.869 -0.119
-0.019 -1.531 7.716
Hg Mg Ce
4 1 1
Direct
0.355 0.987 0.304
0.645 0.013 0.696
0.174 0.497 0.156
0.826 0.503 0.844
0.000 0.000 0.000
0.500 0.500 0.500

---

## b
CeMgHg4 (GGA-PBE, optimized geometry); total magnetization = 1.01 μB/f.u.; V = 25.0 Å³ per atom
1.0
-1.424 2.729 3.784
-7.401 -2.305 -1.122
1.868 -7.434 2.946
Hg Ce Mg
8 2 2
Direct
0.337 0.529 0.677
0.479 0.250 0.959
0.000 0.500 0.000
0.663 0.471 0.323
0.663 0.029 0.323
0.000 0.000 0.000
0.521 0.750 0.041
0.337 0.971 0.677
0.829 0.250 0.658
0.171 0.750 0.342
0.849 0.750 0.700
0.151 0.250 0.300

---

Relative energies in meV/atom: a 0; b 5